{
  "formula": "Rb2HoUS4",
  "functional": "PBE",
  "state": "optimized geometry",
  "magmom_total_mub_per_cell": 3.01,
  "sg": "P2/m (10)",
  "formation_energy_uncorrected_ev_per_atom": -1.58,
  "lattice": [[7.062, 0.000, 0.000], [0.000, 4.076, 0.000], [-2.354, 0.000, 7.710]],
  "species": ["Rb", "Rb", "Ho", "U", "S", "S", "S", "S"],
  "fractional_positions": [[0.000, 0.000, 0.000], [0.500, 0.500, 0.000], [0.000, 0.500, 0.500], [0.500, 0.000, 0.500], [0.229, 0.000, 0.692], [0.267, 0.500, 0.307], [0.733, 0.500, 0.693], [0.771, 0.000, 0.308]]
}

=====

{
  "formula": "Rb2HoVS4",
  "functional": "PBE",
  "state": "optimized geometry",
  "magmom_total_mub_per_cell": 2.00,
  "sg": "I-4 (82)",
  "formation_energy_uncorrected_ev_per_atom": -1.27,
  "lattice": [[-3.650, 3.650, 4.821], [3.650, -3.650, 4.821], [3.650, 3.650, -4.821]],
  "species": ["Rb", "Rb", "Ho", "V", "S", "S", "S", "S"],
  "fractional_positions": [[0.000, 0.000, 0.000], [0.750, 0.250, 0.500], [0.250, 0.750, 0.500], [0.500, 0.500, 0.000], [0.232, 0.151, 0.618], [0.386, 0.768, 0.919], [0.533, 0.614, 0.382], [0.849, 0.467, 0.081]]
}

=====

{
  "formula": "Rb2YHoS4",
  "functional": "PBE",
  "state": "optimized geometry",
  "magmom_total_mub_per_cell": 0.00,
  "sg": "P2/m (10)",
  "formation_energy_uncorrected_ev_per_atom": -1.86,
  "lattice": [[7.056, 0.000, 0.000], [0.000, 4.073, 0.000], [-2.350, 0.000, 7.685]],
  "species": ["Rb", "Rb", "Y", "Ho", "S", "S", "S", "S"],
  "fractional_positions": [[0.000, 0.000, 0.000], [0.500, 0.500, 0.000], [0.000, 0.500, 0.500], [0.500, 0.000, 0.500], [0.232, 0.000, 0.692], [0.271, 0.500, 0.309], [0.729, 0.500, 0.691], [0.768, 0.000, 0.308]]
}

=====

{
  "formula": "RbY4HoS8",
  "functional": "PBE",
  "state": "optimized geometry",
  "magmom_total_mub_per_cell": 0.00,
  "sg": "R3m (160)",
  "formation_energy_uncorrected_ev_per_atom": -1.91,
  "lattice": [[4.143, 2.392, 6.739], [-4.143, 2.392, 6.739], [0.000, -4.784, 6.739]],
  "species": ["Rb", "Y", "Y", "Y", "Y", "Ho", "S", "S", "S", "S", "S", "S", "S", "S"],
  "fractional_positions": [[0.000, 0.000, 0.000], [0.110, 0.629, 0.629], [0.249, 0.249, 0.249], [0.629, 0.110, 0.629], [0.629, 0.629, 0.110], [0.629, 0.629, 0.629], [0.381, 0.381, 0.381], [0.382, 0.382, 0.852], [0.382, 0.852, 0.382], [0.431, 0.854, 0.854], [0.852, 0.382, 0.382], [0.854, 0.431, 0.854], [0.854, 0.854, 0.431], [0.856, 0.856, 0.856]]
}

=====

{
  "formula": "Rb3Ho3ZrS8",
  "functional": "PBE",
  "state": "optimized geometry",
  "magmom_total_mub_per_cell": 0.00,
  "sg": "R-3m (166)",
  "formation_energy_uncorrected_ev_per_atom": -1.81,
  "lattice": [[3.966, 2.290, 7.830], [-3.966, 2.290, 7.830], [0.000, -4.580, 7.830]],
  "species": ["Rb", "Rb", "Rb", "Ho", "Ho", "Ho", "Zr", "S", "S", "S", "S", "S", "S", "S", "S"],
  "fractional_positions": [[0.000, 0.500, 0.500], [0.500, 0.000, 0.500], [0.500, 0.500, 0.000], [0.000, 0.000, 0.500], [0.000, 0.500, 0.000], [0.500, 0.000, 0.000], [0.500, 0.500, 0.500], [0.230, 0.230, 0.230], [0.243, 0.721, 0.721], [0.279, 0.279, 0.757], [0.279, 0.757, 0.279], [0.721, 0.243, 0.721], [0.721, 0.721, 0.243], [0.757, 0.279, 0.279], [0.770, 0.770, 0.770]]
}

=====

{
  "formula": "Rb3Ho2ZrS6",
  "functional": "PBE",
  "state": "optimized geometry",
  "magmom_total_mub_per_cell": 0.00,
  "sg": "C2/m (12)",
  "formation_energy_uncorrected_ev_per_atom": -1.69,
  "lattice": [[3.437, -5.952, 0.000], [3.437, 5.952, 0.000], [-2.293, 0.000, 7.699]],
  "species": ["Rb", "Rb", "Rb", "Ho", "Ho", "Zr", "S", "S", "S", "S", "S", "S"],
  "fractional_positions": [[0.000, 0.000, 0.000], [0.331, 0.669, 0.000], [0.669, 0.331, 0.000], [0.167, 0.833, 0.500], [0.833, 0.167, 0.500], [0.500, 0.500, 0.500], [0.114, 0.436, 0.309], [0.242, 0.242, 0.692], [0.436, 0.114, 0.309], [0.564, 0.886, 0.691], [0.758, 0.758, 0.308], [0.886, 0.564, 0.691]]
}

=====

{
  "formula": "Rb4Ho3ZrS8",
  "functional": "PBE",
  "state": "optimized geometry",
  "magmom_total_mub_per_cell": 0.01,
  "sg": "R-3m (166)",
  "formation_energy_uncorrected_ev_per_atom": -1.73,
  "lattice": [[3.995, 2.306, 7.688], [-3.995, 2.306, 7.688], [0.000, -4.613, 7.688]],
  "species": ["Rb", "Rb", "Rb", "Rb", "Ho", "Ho", "Ho", "Zr", "S", "S", "S", "S", "S", "S", "S", "S"],
  "fractional_positions": [[0.000, 0.000, 0.000], [0.000, 0.500, 0.500], [0.500, 0.000, 0.500], [0.500, 0.500, 0.000], [0.000, 0.000, 0.500], [0.000, 0.500, 0.000], [0.500, 0.000, 0.000], [0.500, 0.500, 0.500], [0.231, 0.231, 0.231], [0.241, 0.725, 0.725], [0.275, 0.275, 0.759], [0.275, 0.759, 0.275], [0.725, 0.241, 0.725], [0.725, 0.725, 0.241], [0.759, 0.275, 0.275], [0.769, 0.769, 0.769]]
}

=====

{
  "formula": "RbHoSb2",
  "functional": "PBE",
  "state": "optimized geometry",
  "magmom_total_mub_per_cell": 0.00,
  "relative_energy_mev_per_atom": 131.8,
  "sg": "R-3m (166)",
  "formation_energy_uncorrected_ev_per_atom": -0.48,
  "lattice": [[2.371, 1.369, 8.002], [-2.371, 1.369, 8.002], [0.000, -2.738, 8.002]],
  "species": ["Rb", "Ho", "Sb", "Sb"],
  "fractional_positions": [[0.000, 0.000, 0.000], [0.500, 0.500, 0.500], [0.225, 0.225, 0.225], [0.775, 0.775, 0.775]]
}

=====

{
  "formula": "RbHoSb2",
  "functional": "PBE",
  "state": "optimized geometry",
  "magmom_total_mub_per_cell": 0.00,
  "relative_energy_mev_per_atom": 0.0,
  "sg": "P4/mmm (123)",
  "formation_energy_uncorrected_ev_per_atom": -0.61,
  "lattice": [[4.120, 0.000, 0.000], [0.000, 4.120, 0.000], [0.000, 0.000, 7.933]],
  "species": ["Rb", "Ho", "Sb", "Sb"],
  "fractional_positions": [[0.000, 0.000, 0.000], [0.000, 0.000, 0.500], [0.500, 0.500, 0.315], [0.500, 0.500, 0.685]]
}

=====

{
  "formula": "Rb2HoSbSe4",
  "functional": "PBE",
  "state": "optimized geometry",
  "magmom_total_mub_per_cell": 0.00,
  "sg": "Imma (74)",
  "formation_energy_uncorrected_ev_per_atom": -1.16,
  "lattice": [[-4.398, 4.488, 6.284], [4.398, -4.488, 6.284], [4.398, 4.488, -6.284]],
  "species": ["Rb", "Rb", "Rb", "Rb", "Ho", "Ho", "Sb", "Sb", "Se", "Se", "Se", "Se", "Se", "Se", "Se", "Se"],
  "fractional_positions": [[0.000, 0.000, 0.000], [0.500, 0.000, 0.000], [0.500, 0.000, 0.500], [0.500, 0.500, 0.500], [0.000, 0.000, 0.500], [0.000, 0.500, 0.000], [0.000, 0.500, 0.500], [0.500, 0.500, 0.000], [0.197, 0.734, 0.464], [0.230, 0.266, 0.964], [0.231, 0.262, 0.531], [0.231, 0.700, 0.969], [0.769, 0.300, 0.031], [0.769, 0.738, 0.469], [0.770, 0.734, 0.036], [0.803, 0.266, 0.536]]
}

=====

{
  "formula": "Rb3HoSb2Se6",
  "functional": "PBE",
  "state": "optimized geometry",
  "magmom_total_mub_per_cell": 0.00,
  "sg": "C2/m (12)",
  "formation_energy_uncorrected_ev_per_atom": -1.03,
  "lattice": [[3.698, -6.405, 0.000], [3.698, 6.405, 0.000], [-2.463, 0.000, 7.975]],
  "species": ["Rb", "Rb", "Rb", "Ho", "Sb", "Sb", "Se", "Se", "Se", "Se", "Se", "Se"],
  "fractional_positions": [[0.000, 0.000, 0.000], [0.331, 0.669, 0.000], [0.669, 0.331, 0.000], [0.500, 0.500, 0.500], [0.166, 0.834, 0.500], [0.834, 0.166, 0.500], [0.105, 0.435, 0.305], [0.235, 0.235, 0.696], [0.435, 0.105, 0.305], [0.565, 0.895, 0.695], [0.765, 0.765, 0.304], [0.895, 0.565, 0.695]]
}

=====

{
  "formula": "Rb2Ho2SbSe6",
  "functional": "PBE",
  "state": "optimized geometry",
  "magmom_total_mub_per_cell": 0.00,
  "sg": "C2/m (12)",
  "formation_energy_uncorrected_ev_per_atom": -1.29,
  "lattice": [[3.580, -6.202, 0.000], [3.580, 6.202, 0.000], [-2.410, 0.000, 8.237]],
  "species": ["Rb", "Rb", "Ho", "Ho", "Sb", "Se", "Se", "Se", "Se", "Se", "Se"],
  "fractional_positions": [[0.168, 0.832, 0.000], [0.832, 0.168, 0.000], [0.332, 0.668, 0.500], [0.668, 0.332, 0.500], [0.000, 0.000, 0.500], [0.065, 0.393, 0.691], [0.263, 0.263, 0.310], [0.393, 0.065, 0.691], [0.607, 0.935, 0.309], [0.737, 0.737, 0.690], [0.935, 0.607, 0.309]]
}